one.
Density functional theory data (GGA-PBE) for crystalline Tb4PmDy7 at its relaxed geometry.

a = 12.048 Å, b = 5.879 Å, c = 12.651 Å
α = 90.00°, β = 118.01°, γ = 90.00°
Space group C2/m (No. 12)
Inequivalent atoms, fractional coordinates:
Tb: 0.134 0.000 0.275 x4
Tb: 0.245 0.500 0.181 x4
Pm: 0.000 0.500 0.500 x2
Dy: 0.000 0.000 0.500 x2
Dy: 0.061 0.500 0.826 x4
Dy: 0.133 0.000 0.002 x4
Dy: 0.211 0.500 0.423 x4

## Properties
The value obtained for the density of states at the Fermi level is 1.67 states/eV/atom. The value obtained for the total magnetic moment is 0.000 μB/atom.

=====

two.
Density functional theory data (GGA-PBE) for crystalline Tb4PmDy7 at its relaxed geometry.

a = 6.506 Å, b = 6.819 Å, c = 9.043 Å
α = 85.77°, β = 76.76°, γ = 81.94°
Space group P-1 (No. 2)
Inequivalent atoms, fractional coordinates:
Tb: 0.142 0.303 0.286 x2
Tb: 0.337 0.890 0.687 x2
Pm: 0.500 0.500 0.000 x1
Dy: 0.016 0.249 0.949 x2
Dy: 0.184 0.798 0.358 x2
Dy: 0.308 0.398 0.613 x2
Dy: 0.500 0.000 0.000 x1

## Properties
The value obtained for the density of states at the Fermi level is 1.67 states/eV/atom. The value obtained for the total magnetic moment is 0.000 μB/atom.

=====

two is favored, and the nearest alternative lies 185 meV per atom above it.

=====

one.
Density functional theory data (GGA-PBE) for crystalline Tb2Pm3Dy8 at its relaxed geometry.

a = 20.787 Å, b = 5.050 Å, c = 7.985 Å
α = 90.00°, β = 94.39°, γ = 90.00°
Space group C2/m (No. 12)
Inequivalent atoms, fractional coordinates:
Tb: 0.231 0.000 0.346 x4
Pm: 0.000 0.000 0.500 x2
Pm: 0.039 0.500 0.807 x4
Dy: 0.078 0.000 0.114 x4
Dy: 0.117 0.500 0.422 x4
Dy: 0.155 0.000 0.731 x4
Dy: 0.193 0.500 0.039 x4

## Properties
The value obtained for the density of states at the Fermi level is 1.44 states/eV/atom. The value obtained for the total magnetic moment is 0.000 μB/atom.

=====

two.
Density functional theory data (GGA-PBE) for crystalline Tb2Pm3Dy8 at its relaxed geometry.

a = 20.164 Å, b = 7.688 Å, c = 5.640 Å
α = 90.00°, β = 90.03°, γ = 90.00°
Space group C2/m (No. 12)
Inequivalent atoms, fractional coordinates:
Tb: 0.241 0.000 0.499 x4
Pm: 0.000 0.000 0.500 x2
Pm: 0.000 0.291 0.000 x4
Dy: 0.109 0.291 0.500 x8
Dy: 0.134 0.000 0.000 x4
Dy: 0.170 0.500 0.001 x4

## Properties
The value obtained for the density of states at the Fermi level is 1.74 states/eV/atom. The value obtained for the total magnetic moment is 0.000 μB/atom.

=====

one is favored, and the nearest alternative lies 226 meV per atom above it.

=====

one.
Density functional theory data (GGA-PBE) for crystalline Tb4Pm2Dy at its relaxed geometry.

a = 16.899 Å, b = 3.550 Å, c = 8.811 Å
α = 90.00°, β = 119.82°, γ = 90.00°
Space group C2/m (No. 12)
Inequivalent atoms, fractional coordinates:
Tb: 0.144 0.000 0.345 x4
Tb: 0.204 0.000 0.792 x4
Pm: 0.070 0.500 0.930 x4
Dy: 0.000 0.500 0.500 x2

## Properties
The value obtained for the density of states at the Fermi level is 1.51 states/eV/atom. The value obtained for the total magnetic moment is 0.000 μB/atom.

=====

two.
Density functional theory data (GGA-PBE) for crystalline Tb4Pm2Dy at its relaxed geometry.

a = 6.108 Å, b = 6.629 Å, c = 11.652 Å
α = 90.00°, β = 104.32°, γ = 90.00°
Space group P2_1/m (No. 11)
Inequivalent atoms, fractional coordinates:
Tb: 0.009 0.250 0.348 x2
Tb: 0.147 0.250 0.939 x2
Tb: 0.356 0.503 0.212 x4
Pm: 0.291 0.750 0.936 x2
Pm: 0.400 0.750 0.502 x2
Dy: 0.151 0.250 0.652 x2

## Properties
The value obtained for the density of states at the Fermi level is 1.69 states/eV/atom. The value obtained for the total magnetic moment is 0.000 μB/atom.

=====

one is favored, and the nearest alternative lies 84 meV per atom above it.

=====

one.
Density functional theory data (GGA-PBE) for crystalline Tb2Pm7Dy3 at its relaxed geometry.

a = 6.242 Å, b = 5.533 Å, c = 12.320 Å
α = 90.00°, β = 90.79°, γ = 90.00°
Space group P2/m (No. 10)
Inequivalent atoms, fractional coordinates:
Tb: 0.112 0.000 0.278 x2
Pm: 0.058 0.500 0.817 x2
Pm: 0.258 0.000 0.547 x2
Pm: 0.413 0.000 0.830 x2
Pm: 0.500 0.500 0.000 x1
Dy: 0.000 0.000 0.000 x1
Dy: 0.436 0.500 0.342 x2

## Properties
The value obtained for the density of states at the Fermi level is 1.55 states/eV/atom. The value obtained for the total magnetic moment is 0.000 μB/atom.

=====

two.
Density functional theory data (GGA-PBE) for crystalline Tb2Pm7Dy3 at its relaxed geometry.

a = 5.792 Å, b = 38.226 Å, c = 3.632 Å
α = 90.00°, β = 90.00°, γ = 90.00°
Space group Cmmm (No. 65)
Inequivalent atoms, fractional coordinates:
Tb: 0.000 0.149 0.000 x4
Pm: 0.000 0.000 0.000 x2
Pm: 0.000 0.072 0.500 x4
Pm: 0.000 0.232 0.000 x4
Pm: 0.000 0.408 0.000 x4
Dy: 0.000 0.315 0.500 x4
Dy: 0.000 0.500 0.500 x2

## Properties
The value obtained for the density of states at the Fermi level is 1.59 states/eV/atom. The value obtained for the total magnetic moment is 0.000 μB/atom.

=====

two is favored, and the nearest alternative lies 178 meV per atom above it.